1.
TbCeTlSn: optimized geometry, PBE.

It has space group F-43m (No. 216), with a = 7.6751 Å, b = 7.6751 Å, c = 7.6751 Å, α = 90.00°, β = 90.00° and γ = 90.00°. The distinct sites, in fractional coordinates, are Tb at (0.0000, 0.0000, 0.0000), Ce at (0.0000, 0.0000, 0.5000), Tl at (0.2500, 0.2500, 0.2500) and Sn at (0.2500, 0.2500, 0.7500).

The value obtained for the total magnetic moment is 0.293 μB per atom. The crystal system is cubic. The calculation puts the density of states at the Fermi level at 2.13 states/eV/atom. Its energy above the most stable polymorph in this dataset is 13 meV per atom.


2.
TbCeTlSn: optimized geometry, PBE.

It has space group P4mm (No. 99), with a = 4.0074 Å, b = 4.0074 Å, c = 7.0242 Å, α = 90.00°, β = 90.00° and γ = 90.00°. The distinct sites, in fractional coordinates, are Tb at (0.0000, 0.0000, 0.0000), Ce at (0.0000, 0.0000, 0.5210), Tl at (0.5000, 0.5000, 0.2482) and Sn at (0.5000, 0.5000, 0.7729).

The value obtained for the total magnetic moment is 0.368 μB per atom. The crystal system is tetragonal. The calculation puts the density of states at the Fermi level at 2.03 states/eV/atom. Its energy above the most stable polymorph in this dataset is 0 meV per atom.


3.
TbCe2Zn2Sn2: optimized geometry, PBE.

It has space group R-3m (No. 166, hexagonal axes), with a = 4.5353 Å, b = 4.5353 Å, c = 28.1821 Å, α = 90.00°, β = 90.00° and γ = 120.00°. The distinct sites, in fractional coordinates, are Tb at (0.0000, 0.0000, 0.0000), Ce at (0.0000, 0.0000, 0.1425), Zn at (0.0000, 0.0000, 0.4185) and Sn at (0.0000, 0.0000, 0.2692).

The value obtained for the total magnetic moment is 0.316 μB per atom. The crystal system is trigonal. The calculation puts the density of states at the Fermi level at 1.66 states/eV/atom.


| no. | energy (eV/atom) |
| --- | --- |
| 1 | -4.662 |
| 2 | -4.675 |
| 3 | -4.203 |